# 1
Material: Cs3Cu2BiI9
Method: DFT, PBE
State: relaxed

a = 8.3087 Å, b = 8.3087 Å, c = 10.2619 Å
α = 90.00°, β = 90.00°, γ = 120.00°
Sites, in units of the cell vectors:
Cs: 0.0000 0.0000 0.0000
Cs: 0.3333 0.6667 0.6721
Cs: 0.6667 0.3333 0.3279
Cu: 0.3333 0.6667 0.1370
Cu: 0.6667 0.3333 0.8630
Bi: 0.0000 0.0000 0.5000
I: 0.0000 0.5000 0.0000
I: 0.1739 0.3479 0.3229
I: 0.1739 0.8261 0.3229
I: 0.3479 0.1739 0.6771
I: 0.5000 0.0000 0.0000
I: 0.5000 0.5000 0.0000
I: 0.6521 0.8261 0.3229
I: 0.8261 0.1739 0.6771
I: 0.8261 0.6521 0.6771

Summary:
Total energy ... -39.7 eV per formula unit
Space group ... No. 164
Uncorrected formation energy ... -0.743 eV per atom
Size of the total moment ... 0.00 μB/f.u.

=====

# 2
Material: Sc2SnSb
Method: DFT, PBE
State: relaxed

a = 7.8675 Å, b = 7.8675 Å, c = 6.5066 Å
α = 90.00°, β = 90.00°, γ = 90.00°
Sites, in units of the cell vectors:
Sc: 0.2466 0.2500 0.1250
Sc: 0.2500 0.7466 0.3750
Sc: 0.2500 0.7534 0.8750
Sc: 0.2534 0.2500 0.6250
Sc: 0.7466 0.7500 0.6250
Sc: 0.7500 0.2466 0.8750
Sc: 0.7500 0.2534 0.3750
Sc: 0.7534 0.7500 0.1250
Sn: 0.0000 0.0000 0.5000
Sn: 0.0000 0.5000 0.7500
Sn: 0.5000 0.0000 0.2500
Sn: 0.5000 0.5000 0.0000
Sb: 0.0000 0.0000 0.0000
Sb: 0.0000 0.5000 0.2500
Sb: 0.5000 0.0000 0.7500
Sb: 0.5000 0.5000 0.5000

Summary:
Total energy ... -22.7 eV per formula unit
Space group ... No. 122
Uncorrected formation energy ... -0.481 eV per atom
Size of the total moment ... 0.35 μB/f.u.
Relative energy among the computed polymorphs ... 287.5 meV per atom

=====

# 3
Material: ZnGe2Ir
Method: DFT, PBE
State: relaxed

a = 5.9221 Å, b = 5.9221 Å, c = 10.4064 Å
α = 90.00°, β = 90.00°, γ = 90.00°
Sites, in units of the cell vectors:
Zn: 0.0000 0.0000 0.0000
Zn: 0.0000 0.5000 0.2500
Zn: 0.5000 0.0000 0.7500
Zn: 0.5000 0.5000 0.5000
Ge: 0.2248 0.2500 0.6250
Ge: 0.2500 0.7248 0.8750
Ge: 0.2500 0.7752 0.3750
Ge: 0.2752 0.2500 0.1250
Ge: 0.7248 0.7500 0.1250
Ge: 0.7500 0.2248 0.3750
Ge: 0.7500 0.2752 0.8750
Ge: 0.7752 0.7500 0.6250
Ir: 0.0000 0.0000 0.5000
Ir: 0.0000 0.5000 0.7500
Ir: 0.5000 0.0000 0.2500
Ir: 0.5000 0.5000 0.0000

Summary:
Total energy ... -18.3 eV per formula unit
Space group ... No. 122
Size of the total moment ... 0.00 μB/f.u.
Formation energy ... 0.257 eV per atom

=====

# 4
Material: BeP3
Method: DFT, PBE
State: relaxed

a = 3.7423 Å, b = 3.7423 Å, c = 3.7423 Å
α = 90.00°, β = 90.00°, γ = 90.00°
Sites, in units of the cell vectors:
Be: 0.0000 0.0000 0.0000
P: 0.0000 0.5000 0.5000
P: 0.5000 0.0000 0.5000
P: 0.5000 0.5000 0.0000

Summary:
Total energy ... -16.9 eV per formula unit
Space group ... No. 221
Size of the total moment ... 0.00 μB/f.u.
Formation energy ... 0.754 eV per atom
Relative energy among the computed polymorphs ... 905.2 meV per atom

=====

What is the formula in the first record?
Cs3Cu2BiI9

=====

Number 1 is which compound?
Cs3Cu2BiI9